1.
DFT (GGA-PBE) results for a relaxed structure of Tb2ErPuSe4.

Calculated values
Total magnetic moment in μB per formula unit: 5.92
Calculated volume in Å³ per cell: 194
Formation energy (no corrections) in meV/atom: -1714
D(E_F) in states/eV/f.u.: 8.654
Crystal system: monoclinic
Theoretical density in g cm⁻³: 8.96

a b c (Å): 7.094 4.073 7.096
angles (deg): 90.00 109.16 90.00
Positions (direct):
Tb 0.000 0.000 0.000
Tb 0.000 0.500 0.500
Er 0.500 0.000 0.500
Pu 0.500 0.500 0.000
Se 0.250 0.000 0.746
Se 0.252 0.500 0.255
Se 0.748 0.500 0.745
Se 0.750 0.000 0.254


2.
DFT (GGA-PBE) results for a relaxed structure of SiRu2Cl.

Calculated values
Total magnetic moment in μB per formula unit: 0.00
Offset from the most stable computed form in eV per atom: 0.272
Calculated volume in Å³ per cell: 119
Formation energy (no corrections) in meV/atom: 210
D(E_F) in states/eV/f.u.: 4.394
Crystal system: orthorhombic
Theoretical density in g cm⁻³: 7.40

a b c (Å): 2.932 5.086 7.995
angles (deg): 90.00 90.00 90.00
Positions (direct):
Si 0.000 0.000 0.000
Si 0.500 0.500 0.000
Ru 0.000 0.500 0.230
Ru 0.000 0.500 0.770
Ru 0.500 0.000 0.230
Ru 0.500 0.000 0.770
Cl 0.000 0.000 0.500
Cl 0.500 0.500 0.500


3.
DFT (GGA-PBE) results for a relaxed structure of ScAlSbTe2.

Calculated values
Total magnetic moment in μB per formula unit: 0.00
Offset from the most stable computed form in eV per atom: 0.000
Calculated volume in Å³ per cell: 171
Formation energy (no corrections) in meV/atom: 53
D(E_F) in states/eV/f.u.: 5.033
Crystal system: tetragonal
Theoretical density in g cm⁻³: 4.37

a b c (Å): 5.558 5.558 5.520
angles (deg): 90.00 90.00 90.00
Positions (direct):
Sc 0.000 0.000 0.000
Al 0.500 0.500 0.500
Sb 0.000 0.000 0.500
Te 0.000 0.500 0.000
Te 0.500 0.000 0.000


4.
DFT (GGA-PBE) results for a relaxed structure of NdCuGeH.

Calculated values
E in eV per cell: -19.1
Total magnetic moment in μB per formula unit: 0.00
Calculated volume in Å³ per cell: 64
D(E_F) in states/eV/f.u.: 2.313
Crystal system: trigonal
Theoretical density in g cm⁻³: 7.29

a b c (Å): 4.221 4.221 4.154
angles (deg): 90.00 90.00 120.00
Positions (direct):
Nd 0.000 0.000 0.000
Cu 0.667 0.333 0.534
Ge 0.333 0.667 0.482
H 0.667 0.333 0.936


- calculated volume of number 3 (ScAlSbTe2)?
  171 Å³ per cell


- Among the records above, which one has the highest total magnetic moment?
  Tb2ErPuSe4


- The highest theoretical density belongs to which entry?
  Tb2ErPuSe4